[1]
NaPuAs2 | PBE | optimized geometry

a b c (Å): 4.2206 4.2206 20.5159
angles (deg): 90.00 90.00 120.00
Space group R3m (No. 160, hexagonal axes)
Inequivalent atoms, fractional coordinates:
Na 0.0000 0.0000 0.0000
Pu 0.0000 0.0000 0.8263
As 0.0000 0.0000 0.2322
As 0.0000 0.0000 0.4225

* density of states at the Fermi level: 44.13 states/eV per cell
* crystal system: trigonal
* total DFT energy (no corrections): -6.709 eV/atom
* total magnetization: 12.3 μB per cell
* mass density: 6.561 g cm⁻³
* energy of formation from the pure elements: -0.472 eV per atom

---

[2]
NaPuAs2 | PBE | optimized geometry

a b c (Å): 4.2944 4.2944 19.5168
angles (deg): 90.00 90.00 120.00
Space group R-3m (No. 166, hexagonal axes)
Inequivalent atoms, fractional coordinates:
Na 0.0000 0.0000 0.0000
Pu 0.0000 0.0000 0.5000
As 0.0000 0.0000 0.2371

* density of states at the Fermi level: 42.70 states/eV per cell
* crystal system: trigonal
* total DFT energy (no corrections): -6.732 eV/atom
* total magnetization: 11.9 μB per cell
* mass density: 6.662 g cm⁻³
* energy of formation from the pure elements: -0.495 eV per atom

---

[3]
NaPuAs2 | PBE | optimized geometry

a b c (Å): 5.332 5.332 3.052
angles (deg): 90.00 90.00 90.00
Space group P4/mmm (No. 123)
Inequivalent atoms, fractional coordinates:
Na 0.000 0.000 0.000
Pu 0.500 0.500 0.000
As 0.000 0.500 0.500

* density of states at the Fermi level: 7.66 states/eV per cell
* crystal system: tetragonal
* total DFT energy (no corrections): -6.764 eV/atom
* total magnetization: 4.8 μB per cell
* mass density: 7.975 g cm⁻³
* energy of formation from the pure elements: -0.527 eV per atom

---

[4]
Na4Pu3AsS8 | PBE | optimized geometry

a b c (Å): 7.9920 7.9920 19.7972
angles (deg): 90.00 90.00 120.00
Space group R-3m (No. 166, hexagonal axes)
Inequivalent atoms, fractional coordinates:
Na 0.0000 0.0000 0.0000
Na 0.0000 0.5000 0.0000
Pu 0.0000 0.5000 0.5000
As 0.0000 0.0000 0.5000
S 0.0000 0.0000 0.2422
S 0.0126 0.5063 0.2405

* ΔE_f (raw): -1.2722 eV/atom
* density of states at the Fermi level: 74.15 states/eV per cell
* crystal system: trigonal
* total DFT energy (no corrections): -6.644 eV/atom
* total magnetization: 45.0 μB per cell
* mass density: 5.256 g cm⁻³

---

[5]
Na4Pu3AsSe8 | PBE | optimized geometry

a b c (Å): 8.3428 8.3428 20.7332
angles (deg): 90.00 90.00 120.00
Space group R-3m (No. 166, hexagonal axes)
Inequivalent atoms, fractional coordinates:
Na 0.0000 0.0000 0.0000
Na 0.0000 0.5000 0.0000
Pu 0.0000 0.5000 0.5000
As 0.0000 0.0000 0.5000
Se 0.0000 0.0000 0.2436
Se 0.0134 0.5067 0.2414

* ΔE_f (raw): -1.1646 eV/atom
* density of states at the Fermi level: 94.89 states/eV per cell
* crystal system: trigonal
* total DFT energy (no corrections): -6.214 eV/atom
* total magnetization: 45.0 μB per cell
* mass density: 6.101 g cm⁻³

---

[6]
Na3PuAs2Se6 | PBE | optimized geometry

a b c (Å): 7.027 12.212 7.360
angles (deg): 90.00 108.69 90.00
Space group C2/m (No. 12)
Inequivalent atoms, fractional coordinates:
Na 0.000 0.000 0.000
Na 0.000 0.334 0.000
Pu 0.000 0.500 0.500
As 0.000 0.168 0.500
Se 0.224 0.000 0.722
Se 0.248 0.324 0.719

* ΔE_f (raw): -0.7807 eV/atom
* density of states at the Fermi level: 26.23 states/eV per cell
* crystal system: monoclinic
* total DFT energy (no corrections): -4.822 eV/atom
* total magnetization: 10.0 μB per cell
* mass density: 5.199 g cm⁻³